VASP calculation (PBE-GGA) on a relaxed structure of DyPb2Se4.

Cell lengths 4.1044, 14.2441, 13.7880 Å; angles 90.00, 90.00, 90.00 degrees
Space group Cmcm (No. 63)
Unique sites:
Dy  0.0000  0.1077  0.2500 x4
Pb  0.0000  0.3661  0.0650 x8
Se  0.0000  0.0000  0.0000 x4
Se  0.0000  0.2893  0.6373 x8
Se  0.0000  0.4669  0.2500 x4

Values from the calculation:
Crystal system: orthorhombic
Total DFT energy (no corrections): -4.5747 eV per atom
Density: 7.356 g cm⁻³
Formation energy from raw total energies: -0.87 eV per atom
M_tot: 0.00 μB per cell